Entry 1:
# Na2GaI3

A relaxed Na2GaI3 crystal (GGA-PBE, Alexandria via LeMat-Bulk).

Properties
- formation energy (no corrections) (eV per formula unit) = -5.7
- energy (eV per cell) = -16.0
- SG = Immm

Lattice parameters (Å, degrees): 8.0643 8.0643 8.0643 146.60 131.90 59.82
Sites, in units of the cell vectors:
Na 0.1658 0.1658 0.0000
Na 0.8342 0.8342 0.0000
Ga 0.5000 0.5000 0.0000
I 0.0000 0.5000 0.5000
I 0.3291 0.8291 0.5000
I 0.6709 0.1709 0.5000

Entry 2:
# Tl2AsNO

A relaxed Tl2AsNO crystal (GGA-PBE, Alexandria via LeMat-Bulk).

Properties
- formation energy (no corrections) (eV per formula unit) = 3.9
- energy (eV per cell) = -18.7
- SG = P4/mmm

Lattice parameters (Å, degrees): 5.5854 5.5854 3.8129 90.00 90.00 90.00
Sites, in units of the cell vectors:
Tl 0.0000 0.5000 0.0000
Tl 0.5000 0.0000 0.0000
As 0.0000 0.0000 0.0000
N 0.5000 0.5000 0.5000
O 0.0000 0.0000 0.5000

Entry 3:
# Ca2NbInP

A relaxed Ca2NbInP crystal (GGA-PBE, Alexandria via LeMat-Bulk).

Properties
- energy of formation (kJ/mol of formula units) = 188
- energy (eV per cell) = -20.3
- SG = P4/mmm

Lattice parameters (Å, degrees): 5.3695 5.3695 5.1013 90.00 90.00 90.00
Sites, in units of the cell vectors:
Ca 0.0000 0.5000 0.0000
Ca 0.5000 0.0000 0.0000
Nb 0.0000 0.0000 0.5000
In 0.5000 0.5000 0.5000
P 0.5000 0.5000 0.0000

Entry 4:
# ScCBr

A relaxed ScCBr crystal (GGA-PBE, Alexandria via LeMat-Bulk).

Properties
- formation energy (no corrections) (eV per formula unit) = 0.1
- energy (eV per cell) = -17.1
- SG = P1

Lattice parameters (Å, degrees): 3.3270 3.3466 5.3298 106.13 107.13 90.04
Sites, in units of the cell vectors:
Sc 0.0000 0.0000 0.0000
C 0.4902 0.4753 0.9767
Br 0.6992 0.4654 0.4208

Q: What is the formula in the first record?
A: Na2GaI3